(1)
A relaxed structure of PmPu4Se6, computed with PBE.

Unit cell a=7.146 b=7.146 c=21.057 alpha=90.00 beta=90.00 gamma=146.73
Element x y z (fractional)
Pm1 0.154 0.846 0.750
Pm2 0.846 0.154 0.250
Pu1 0.091 0.909 0.130
Pu2 0.091 0.909 0.370
Pu3 0.362 0.638 0.040
Pu4 0.362 0.638 0.460
Pu5 0.638 0.362 0.540
Pu6 0.638 0.362 0.960
Pu7 0.909 0.091 0.630
Pu8 0.909 0.091 0.870
Se1 0.000 0.000 0.000
Se2 0.000 0.000 0.500
Se3 0.192 0.808 0.250
Se4 0.271 0.729 0.588
Se5 0.271 0.729 0.912
Se6 0.451 0.549 0.167
Se7 0.451 0.549 0.333
Se8 0.549 0.451 0.667
Se9 0.549 0.451 0.833
Se10 0.729 0.271 0.088
Se11 0.729 0.271 0.412
Se12 0.808 0.192 0.750

Results
space-group type = Cmcm
theoretical density = 8.98 g cm⁻³
formation energy (no corrections) = -1.54 eV/atom
N(E_F) = 49.7 states/eV/f.u.


(2)
A relaxed structure of PmPuSe2, computed with PBE.

Unit cell a=5.133 b=5.133 c=3.594 alpha=90.00 beta=90.00 gamma=90.00
Element x y z (fractional)
Pm1 0.000 0.000 0.000
Pu1 0.500 0.500 0.000
Se1 0.000 0.500 0.500
Se2 0.500 0.000 0.500

Results
relative energy among the computed polymorphs = 1.04 eV/f.u.
space-group type = P4/mmm
theoretical density = 9.59 g cm⁻³
formation energy (no corrections) = -1.44 eV/atom
N(E_F) = 6.6 states/eV/f.u.


(3)
A relaxed structure of PmPuSe2, computed with PBE.

Unit cell a=4.090 b=4.090 c=14.278 alpha=90.00 beta=90.00 gamma=120.00
Element x y z (fractional)
Pm1 0.000 0.000 0.000
Pm2 0.000 0.000 0.500
Pu1 0.333 0.667 0.250
Pu2 0.667 0.333 0.750
Se1 0.333 0.667 0.624
Se2 0.333 0.667 0.876
Se3 0.667 0.333 0.124
Se4 0.667 0.333 0.376

Results
relative energy among the computed polymorphs = 0.21 eV/f.u.
space-group type = P6_3/mmc
theoretical density = 8.78 g cm⁻³
formation energy (no corrections) = -1.65 eV/atom
N(E_F) = 10.8 states/eV/f.u.


(4)
A relaxed structure of PmPuSe2, computed with PBE.

Unit cell a=7.263 b=7.263 c=7.263 alpha=33.24 beta=33.24 gamma=33.24
Element x y z (fractional)
Pm1 0.000 0.000 0.000
Pu1 0.500 0.500 0.500
Se1 0.248 0.248 0.248
Se2 0.752 0.752 0.752

Results
relative energy among the computed polymorphs = 0.00 eV/f.u.
space-group type = R-3m
theoretical density = 8.86 g cm⁻³
formation energy (no corrections) = -1.70 eV/atom
N(E_F) = 9.2 states/eV/f.u.


(5)
A relaxed structure of PmPuSe2, computed with PBE.

Unit cell a=5.124 b=5.124 c=5.124 alpha=60.00 beta=60.00 gamma=60.00
Element x y z (fractional)
Pm1 0.000 0.000 0.000
Pu1 0.500 0.500 0.500
Se1 0.250 0.250 0.250
Se2 0.750 0.750 0.750

Results
relative energy among the computed polymorphs = 1.07 eV/f.u.
space-group type = Fm-3m
theoretical density = 9.55 g cm⁻³
formation energy (no corrections) = -1.44 eV/atom
N(E_F) = 5.0 states/eV/f.u.


(6)
A relaxed structure of Pm2PuSe3, computed with PBE.

Unit cell a=7.247 b=7.247 c=7.247 alpha=146.53 beta=131.95 gamma=59.82
Element x y z (fractional)
Pm1 0.169 0.169 0.000
Pm2 0.831 0.831 0.000
Pu1 0.500 0.500 0.000
Se1 0.000 0.500 0.500
Se2 0.337 0.837 0.500
Se3 0.663 0.163 0.500

Results
space-group type = Immm
theoretical density = 8.27 g cm⁻³
formation energy (no corrections) = -1.76 eV/atom
N(E_F) = 9.1 states/eV/f.u.


(7)
A relaxed structure of PmPu5Se6, computed with PBE.

Unit cell a=7.200 b=7.200 c=7.199 alpha=99.59 beta=99.59 gamma=119.97
Element x y z (fractional)
Pm1 0.000 0.000 0.000
Pu1 0.165 0.835 0.500
Pu2 0.333 0.667 0.000
Pu3 0.500 0.500 0.500
Pu4 0.667 0.333 0.000
Pu5 0.835 0.165 0.500
Se1 0.084 0.421 0.252
Se2 0.253 0.253 0.749
Se3 0.421 0.084 0.252
Se4 0.579 0.916 0.748
Se5 0.747 0.747 0.251
Se6 0.916 0.579 0.748

Results
space-group type = C2/m
theoretical density = 10.02 g cm⁻³
formation energy (no corrections) = -1.59 eV/atom
N(E_F) = 47.0 states/eV/f.u.


(8)
A relaxed structure of Pm2Pu2Se5, computed with PBE.

Unit cell a=8.339 b=8.339 c=7.937 alpha=90.00 beta=90.00 gamma=56.20
Element x y z (fractional)
Pm1 0.154 0.846 0.844
Pm2 0.346 0.654 0.344
Pm3 0.654 0.346 0.656
Pm4 0.846 0.154 0.156
Pu1 0.198 0.198 0.500
Pu2 0.302 0.302 0.000
Pu3 0.698 0.698 0.000
Pu4 0.802 0.802 0.500
Se1 0.000 0.000 0.500
Se2 0.019 0.704 0.153
Se3 0.204 0.519 0.653
Se4 0.296 0.981 0.153
Se5 0.481 0.796 0.653
Se6 0.500 0.500 0.000
Se7 0.519 0.204 0.347
Se8 0.704 0.019 0.847
Se9 0.796 0.481 0.347
Se10 0.981 0.296 0.847

Results
space-group type = Cmce
theoretical density = 8.49 g cm⁻³
formation energy (no corrections) = -1.65 eV/atom
N(E_F) = 22.9 states/eV/f.u.


(9)
A relaxed structure of Pm6PuSe8, computed with PBE.

Unit cell a=8.367 b=8.367 c=8.367 alpha=60.00 beta=60.00 gamma=60.00
Element x y z (fractional)
Pm1 0.000 0.000 0.500
Pm2 0.000 0.500 0.000
Pm3 0.000 0.500 0.500
Pm4 0.500 0.000 0.000
Pm5 0.500 0.000 0.500
Pm6 0.500 0.500 0.000
Pu1 0.000 0.000 0.000
Se1 0.250 0.250 0.250
Se2 0.251 0.251 0.749
Se3 0.251 0.749 0.251
Se4 0.251 0.749 0.749
Se5 0.749 0.251 0.251
Se6 0.749 0.251 0.749
Se7 0.749 0.749 0.251
Se8 0.750 0.750 0.750

Results
space-group type = Fm-3m
theoretical density = 7.00 g cm⁻³
formation energy (no corrections) = -1.83 eV/atom
N(E_F) = 16.9 states/eV/f.u.


(10)
A relaxed structure of PmPuSe2, computed with PBE.

Unit cell a=7.228 b=7.228 c=7.228 alpha=131.88 beta=131.88 gamma=70.42
Element x y z (fractional)
Pm1 0.375 0.625 0.750
Pm2 0.625 0.375 0.250
Pu1 0.125 0.875 0.250
Pu2 0.875 0.125 0.750
Se1 0.122 0.372 0.750
Se2 0.372 0.122 0.250
Se3 0.628 0.878 0.750
Se4 0.878 0.628 0.250

Results
relative energy among the computed polymorphs = 0.00 eV/f.u.
space-group type = I4_1/amd
theoretical density = 8.85 g cm⁻³
formation energy (no corrections) = -1.70 eV/atom
N(E_F) = 10.1 states/eV/f.u.


(11)
A relaxed structure of Pm4PuSe7, computed with PBE.

Unit cell a=7.154 b=7.154 c=12.449 alpha=104.15 beta=104.15 gamma=33.21
Element x y z (fractional)
Pm1 0.000 0.000 0.000
Pm2 0.187 0.187 0.767
Pm3 0.581 0.581 0.382
Pm4 0.884 0.884 0.574
Pu1 0.768 0.768 0.151
Se1 0.147 0.147 0.226
Se2 0.224 0.224 0.525
Se3 0.382 0.382 0.075
Se4 0.545 0.545 0.625
Se5 0.623 0.623 0.924
Se6 0.845 0.845 0.791
Se7 0.924 0.924 0.358

Results
space-group type = Cm
theoretical density = 6.78 g cm⁻³
formation energy (no corrections) = -1.80 eV/atom
N(E_F) = 13.8 states/eV/f.u.


(12)
A relaxed structure of PmPuSe2, computed with PBE.

Unit cell a=7.699 b=7.699 c=7.699 alpha=30.43 beta=30.43 gamma=30.43
Element x y z (fractional)
Pm1 0.000 0.000 0.000
Pu1 0.826 0.826 0.826
Se1 0.244 0.244 0.244
Se2 0.416 0.416 0.416

Results
relative energy among the computed polymorphs = 0.33 eV/f.u.
space-group type = R3m
theoretical density = 8.75 g cm⁻³
formation energy (no corrections) = -1.62 eV/atom
N(E_F) = 7.9 states/eV/f.u.


- theoretical density of number 7 (PmPu5Se6)?
  10.02 g cm⁻³